Entry 1:
# GGA-PBE Cs2RbNiI6, relaxed
data_Cs2RbNiI6
_chemical_formula_sum 'Cs4 Rb2 Ni2 I12'
_cell_length_a 8.733
_cell_length_b 8.733
_cell_length_c 12.331
_cell_angle_alpha 90.00
_cell_angle_beta 90.00
_cell_angle_gamma 90.00
_space_group_name_H-M_alt 'I 4/m m m'
_space_group_IT_number 139
_space_group_name_Hall '-I 4 2'
loop_
_atom_site_label
_atom_site_fract_x
_atom_site_fract_y
_atom_site_fract_z
_atom_site_occupancy
Cs1 0.000 0.500 0.250 1
Rb1 0.000 0.000 0.000 1
Ni1 0.000 0.000 0.500 1
I1 0.000 0.000 0.282 1
I2 0.218 0.218 0.500 1
# **Crystal system**: tetragonal
# **M_tot**: 1.00 μB/f.u.
# **Formation energy from raw total energies**: -0.863 eV per atom

***

Entry 2:
# GGA-PBE Cs2ReNiI6, relaxed
data_Cs2ReNiI6
_chemical_formula_sum 'Cs8 Re4 Ni4 I24'
_cell_length_a 11.388
_cell_length_b 11.388
_cell_length_c 11.388
_cell_angle_alpha 90.00
_cell_angle_beta 90.00
_cell_angle_gamma 90.00
_space_group_name_H-M_alt 'F m -3 m'
_space_group_IT_number 225
_space_group_name_Hall '-F 4 2 3'
loop_
_atom_site_label
_atom_site_fract_x
_atom_site_fract_y
_atom_site_fract_z
_atom_site_occupancy
Cs1 0.250 0.250 0.250 1
Re1 0.000 0.000 0.000 1
Ni1 0.000 0.000 0.500 1
I1 0.000 0.000 0.250 1
# **Crystal system**: cubic
# **M_tot**: 3.00 μB/f.u.
# **Formation energy from raw total energies**: -0.388 eV per atom

***

Entry 3:
# GGA-PBE Cs2NiSI6, relaxed
data_Cs2NiSI6
_chemical_formula_sum 'Cs4 Ni2 S2 I12'
_cell_length_a 8.121
_cell_length_b 8.121
_cell_length_c 11.231
_cell_angle_alpha 90.00
_cell_angle_beta 90.00
_cell_angle_gamma 90.00
_space_group_name_H-M_alt 'I 4/m m m'
_space_group_IT_number 139
_space_group_name_Hall '-I 4 2'
loop_
_atom_site_label
_atom_site_fract_x
_atom_site_fract_y
_atom_site_fract_z
_atom_site_occupancy
Cs1 0.000 0.500 0.250 1
Ni1 0.000 0.000 0.000 1
S1 0.000 0.000 0.500 1
I1 0.000 0.000 0.248 1
I2 0.233 0.233 0.000 1
# **Crystal system**: tetragonal
# **M_tot**: 0.00 μB/f.u.
# **Formation energy from raw total energies**: -0.541 eV per atom

***

Entry 4:
# GGA-PBE Cs2ScNiI6, relaxed
data_Cs2ScNiI6
_chemical_formula_sum 'Cs4 Sc2 Ni2 I12'
_cell_length_a 8.205
_cell_length_b 8.205
_cell_length_c 11.565
_cell_angle_alpha 90.00
_cell_angle_beta 90.00
_cell_angle_gamma 90.00
_space_group_name_H-M_alt 'I 4/m m m'
_space_group_IT_number 139
_space_group_name_Hall '-I 4 2'
loop_
_atom_site_label
_atom_site_fract_x
_atom_site_fract_y
_atom_site_fract_z
_atom_site_occupancy
Cs1 0.000 0.500 0.250 1
Sc1 0.000 0.000 0.000 1
Ni1 0.000 0.000 0.500 1
I1 0.000 0.000 0.254 1
I2 0.247 0.247 0.500 1
# **Crystal system**: tetragonal
# **M_tot**: 1.00 μB/f.u.
# **Formation energy from raw total energies**: -1.007 eV per atom

***

Entry 5:
# GGA-PBE Cs2SrNiI6, relaxed
data_Cs2SrNiI6
_chemical_formula_sum 'Cs8 Sr4 Ni4 I24'
_cell_length_a 12.058
_cell_length_b 12.058
_cell_length_c 12.058
_cell_angle_alpha 90.00
_cell_angle_beta 90.00
_cell_angle_gamma 90.00
_space_group_name_H-M_alt 'F m -3 m'
_space_group_IT_number 225
_space_group_name_Hall '-F 4 2 3'
loop_
_atom_site_label
_atom_site_fract_x
_atom_site_fract_y
_atom_site_fract_z
_atom_site_occupancy
Cs1 0.250 0.250 0.250 1
Sr1 0.000 0.000 0.000 1
Ni1 0.000 0.000 0.500 1
I1 0.000 0.000 0.269 1
# **Crystal system**: cubic
# **M_tot**: 2.00 μB/f.u.
# **Formation energy from raw total energies**: -1.090 eV per atom

***

Entry 6:
# GGA-PBE CsNiTeI2, relaxed
data_CsNiTeI2
_chemical_formula_sum 'Cs1 Ni1 Te1 I2'
_cell_length_a 5.871
_cell_length_b 5.871
_cell_length_c 5.031
_cell_angle_alpha 90.00
_cell_angle_beta 90.00
_cell_angle_gamma 90.00
_space_group_name_H-M_alt 'P 4/m m m'
_space_group_IT_number 123
_space_group_name_Hall '-P 4 2'
loop_
_atom_site_label
_atom_site_fract_x
_atom_site_fract_y
_atom_site_fract_z
_atom_site_occupancy
Cs1 0.000 0.000 0.000 1
Ni1 0.500 0.500 0.500 1
Te1 0.500 0.500 0.000 1
I1 0.000 0.500 0.500 1
# **Crystal system**: tetragonal
# **M_tot**: 1.56 μB/f.u.
# **Formation energy from raw total energies**: -0.413 eV per atom

***

Entry 7:
# GGA-PBE Cs2NiTeI6, relaxed
data_Cs2NiTeI6
_chemical_formula_sum 'Cs4 Ni2 Te2 I12'
_cell_length_a 8.308
_cell_length_b 8.308
_cell_length_c 11.740
_cell_angle_alpha 90.00
_cell_angle_beta 90.00
_cell_angle_gamma 90.00
_space_group_name_H-M_alt 'I 4/m m m'
_space_group_IT_number 139
_space_group_name_Hall '-I 4 2'
loop_
_atom_site_label
_atom_site_fract_x
_atom_site_fract_y
_atom_site_fract_z
_atom_site_occupancy
Cs1 0.000 0.500 0.250 1
Ni1 0.000 0.000 0.000 1
Te1 0.000 0.000 0.500 1
I1 0.000 0.000 0.233 1
I2 0.231 0.231 0.000 1
# **Crystal system**: tetragonal
# **M_tot**: 0.00 μB/f.u.
# **Formation energy from raw total energies**: -0.648 eV per atom

***

Entry 8:
# GGA-PBE Cs2YNiI6, relaxed
data_Cs2YNiI6
_chemical_formula_sum 'Cs4 Y2 Ni2 I12'
_cell_length_a 8.363
_cell_length_b 8.363
_cell_length_c 11.797
_cell_angle_alpha 90.00
_cell_angle_beta 90.00
_cell_angle_gamma 90.00
_space_group_name_H-M_alt 'I 4/m m m'
_space_group_IT_number 139
_space_group_name_Hall '-I 4 2'
loop_
_atom_site_label
_atom_site_fract_x
_atom_site_fract_y
_atom_site_fract_z
_atom_site_occupancy
Cs1 0.000 0.500 0.250 1
Y1 0.000 0.000 0.000 1
Ni1 0.000 0.000 0.500 1
I1 0.000 0.000 0.258 1
I2 0.242 0.242 0.500 1
# **Crystal system**: tetragonal
# **M_tot**: 1.00 μB/f.u.
# **Formation energy from raw total energies**: -1.080 eV per atom

***

Entry 9:
# GGA-PBE Cs2NpI4, relaxed
data_Cs2NpI4
_chemical_formula_sum 'Cs4 Np2 I8'
_cell_length_a 6.221
_cell_length_b 6.221
_cell_length_c 19.396
_cell_angle_alpha 90.00
_cell_angle_beta 90.00
_cell_angle_gamma 90.00
_space_group_name_H-M_alt 'I 4/m m m'
_space_group_IT_number 139
_space_group_name_Hall '-I 4 2'
loop_
_atom_site_label
_atom_site_fract_x
_atom_site_fract_y
_atom_site_fract_z
_atom_site_occupancy
Cs1 0.000 0.000 0.137 1
Np1 0.000 0.000 0.500 1
I1 0.000 0.000 0.335 1
I2 0.000 0.500 0.000 1
# **Crystal system**: tetragonal
# **M_tot**: 5.00 μB/f.u.
# **Formation energy from raw total energies**: -1.105 eV per atom

***

Entry 10:
# GGA-PBE CsNpI4, relaxed
data_CsNpI4
_chemical_formula_sum 'Cs2 Np2 I8'
_cell_length_a 9.772
_cell_length_b 9.772
_cell_length_c 7.584
_cell_angle_alpha 90.00
_cell_angle_beta 90.00
_cell_angle_gamma 90.00
_space_group_name_H-M_alt 'I -4'
_space_group_IT_number 82
_space_group_name_Hall 'I -4'
loop_
_atom_site_label
_atom_site_fract_x
_atom_site_fract_y
_atom_site_fract_z
_atom_site_occupancy
Cs1 0.000 0.000 0.000 1
Np1 0.000 0.500 0.750 1
I1 0.147 0.295 0.532 1
# **Crystal system**: tetragonal
# **Offset from the most stable computed form**: 115.6 meV/atom
# **M_tot**: 4.00 μB/f.u.
# **Formation energy from raw total energies**: -0.976 eV per atom

***

Entry 11:
# GGA-PBE CsNp3I9, relaxed
data_CsNp3I9
_chemical_formula_sum 'Cs1 Np3 I9'
_cell_length_a 11.8057
_cell_length_b 11.8057
_cell_length_c 6.2309
_cell_angle_alpha 90.00
_cell_angle_beta 90.00
_cell_angle_gamma 120.00
_space_group_name_H-M_alt 'P 6/m m m'
_space_group_IT_number 191
_space_group_name_Hall '-P 6 2'
loop_
_atom_site_label
_atom_site_fract_x
_atom_site_fract_y
_atom_site_fract_z
_atom_site_occupancy
Cs1 0.0000 0.0000 0.0000 1
Np1 0.0000 0.5000 0.5000 1
I1 0.0000 0.5000 0.0000 1
I2 0.1955 0.3911 0.5000 1
# **Crystal system**: hexagonal
# **M_tot**: 13.00 μB/f.u.
# **Formation energy from raw total energies**: -0.851 eV per atom

***

Entry 12:
# GGA-PBE Cs3NpI6, relaxed
data_Cs3NpI6
_chemical_formula_sum 'Cs12 Np4 I24'
_cell_length_a 11.146
_cell_length_b 13.632
_cell_length_c 16.287
_cell_angle_alpha 90.00
_cell_angle_beta 90.00
_cell_angle_gamma 90.00
_space_group_name_H-M_alt 'F m m m'
_space_group_IT_number 69
_space_group_name_Hall '-F 2 2'
loop_
_atom_site_label
_atom_site_fract_x
_atom_site_fract_y
_atom_site_fract_z
_atom_site_occupancy
Cs1 0.000 0.000 0.000 1
Cs2 0.250 0.250 0.250 1
Np1 0.000 0.000 0.500 1
I1 0.000 0.228 0.500 1
I2 0.204 0.000 0.368 1
# **Crystal system**: orthorhombic
# **Offset from the most stable computed form**: 56.2 meV/atom
# **M_tot**: 4.00 μB/f.u.
# **Formation energy from raw total energies**: -1.245 eV per atom